Record 1
# PBE-GGA PaMnRu, optimized geometry
data_PaMnRu
_chemical_formula_sum 'Pa4 Mn4 Ru4'
_cell_length_a 9.1644
_cell_length_b 4.0491
_cell_length_c 5.5969
_cell_angle_alpha 90.00
_cell_angle_beta 95.44
_cell_angle_gamma 90.00
_space_group_name_H-M_alt 'C 1 2/m 1'
_space_group_IT_number 12
_space_group_name_Hall '-C 2y'
loop_
_atom_site_label
_atom_site_type_symbol
_atom_site_fract_x
_atom_site_fract_y
_atom_site_fract_z
Pa1 Pa 0.1397 0.0000 0.3109
Mn1 Mn 0.0000 0.5000 0.0000
Mn2 Mn 0.0000 0.5000 0.5000
Ru1 Ru 0.1768 0.0000 0.8314
# Energy, eV per atom: -9.44
# Volume, Å³/atom: 17.23
# DOS at the Fermi energy, states/eV per cell: 12.97

***

Record 2
# PBE-GGA LiTh2Tl3Se6, optimized geometry
data_LiTh2Tl3Se6
_chemical_formula_sum 'Li2 Th4 Tl6 Se12'
_cell_length_a 19.9157
_cell_length_b 4.3159
_cell_length_c 9.1299
_cell_angle_alpha 90.00
_cell_angle_beta 110.33
_cell_angle_gamma 90.00
_space_group_name_H-M_alt 'C 1 2/m 1'
_space_group_IT_number 12
_space_group_name_Hall '-C 2y'
loop_
_atom_site_label
_atom_site_type_symbol
_atom_site_fract_x
_atom_site_fract_y
_atom_site_fract_z
Li1 Li 0.0000 0.0000 0.0000
Th1 Th 0.1584 0.5000 0.3150
Tl1 Tl 0.0000 0.0000 0.5000
Tl2 Tl 0.1563 0.5000 0.8296
Se1 Se 0.0110 0.5000 0.2268
Se2 Se 0.1623 0.0000 0.1046
Se3 Se 0.1780 0.0000 0.5513
# Volume, Å³/atom: 30.66
# ΔE_f (raw), eV/atom: -1.17